A plane-wave DFT calculation with PBE was carried out for a relaxed structure of AcSiS.

Cell: 7.9183 4.5854 10.2489 Å, 90.00 104.96 90.00°
Sites, in units of the cell vectors:
Ac  0.2376  0.0000  0.2124
Ac  0.2624  0.5000  0.7876
Ac  0.7376  0.5000  0.2124
Ac  0.7624  0.0000  0.7876
Si  0.1503  0.5000  0.4508
Si  0.3497  0.0000  0.5492
Si  0.6503  0.0000  0.4508
Si  0.8497  0.5000  0.5492
S  0.1296  0.0000  0.8874
S  0.3704  0.5000  0.1126
S  0.6296  0.5000  0.8874
S  0.8704  0.0000  0.1126

Formation energy (no corrections) in eV/atom: -1.07
SG: C2/m, No. 12